[1]
A plane-wave DFT calculation with PBE was carried out for a relaxed structure of Nd3Sm2DyS6.

Cell and atoms, written as extended XYZ:
```
12
Lattice="3.473 -6.035 0.000 3.473 6.035 0.000 -2.321 0.000 6.584" Properties=species:S:1:pos:R:3 pbc="T T T"
Nd 0.000 0.000 0.000
Nd 3.473 2.045 0.000
Nd 3.473 -2.045 0.000
Sm 2.313 4.021 3.292
Sm 2.313 -4.021 3.292
Dy 2.313 0.000 3.292
S 1.178 1.976 1.710
S 0.038 0.000 4.890
S 1.178 -1.976 1.710
S 3.447 1.976 4.874
S 4.588 0.000 1.694
S 3.447 -1.976 4.874
```

Properties
raw formation energy = -2023.9 meV/atom
calculated volume = 276.00 Å³/cell
crystal system = monoclinic

---

[2]
A plane-wave DFT calculation with PBE was carried out for a relaxed structure of Nd4SmDy3S8.

Cell and atoms, written as extended XYZ:
```
16
Lattice="3.980 2.298 6.611 -3.980 2.298 6.611 0.000 -4.596 6.611" Properties=species:S:1:pos:R:3 pbc="T T T"
Nd 0.000 0.000 0.000
Nd -1.990 -1.149 6.611
Nd -1.990 1.149 13.221
Nd 0.000 2.298 6.611
Sm 0.000 0.000 9.916
Dy -3.980 0.000 9.916
Dy -1.990 1.149 3.305
Dy 1.990 1.149 3.305
S -2.019 -1.166 11.481
S 0.000 0.000 4.849
S 0.000 -2.331 8.351
S -2.019 1.166 8.351
S 2.019 -1.166 11.481
S 0.000 2.331 11.481
S 0.000 0.000 14.983
S 2.019 1.166 8.351
```

Properties
raw formation energy = -2012.2 meV/atom
calculated volume = 362.72 Å³/cell
crystal system = trigonal

---

[3]
A plane-wave DFT calculation with PBE was carried out for a relaxed structure of NdSm2DyS6.

Cell and atoms, written as extended XYZ:
```
10
Lattice="3.538 2.043 6.254 -3.538 2.043 6.254 0.000 -4.086 6.254" Properties=species:S:1:pos:R:3 pbc="T T T"
Nd 0.000 0.000 0.000
Sm 0.000 0.000 5.474
Sm 0.000 0.000 14.907
Dy 0.000 0.000 9.302
S -2.074 -0.026 7.440
S -1.400 -1.987 10.549
S 1.060 -1.783 7.440
S -1.021 2.206 10.549
S 1.014 1.809 7.440
S 2.421 -0.219 10.549
```

Properties
raw formation energy = -2030.5 meV/atom
calculated volume = 271.20 Å³/cell
crystal system = trigonal

---

[4]
A plane-wave DFT calculation with PBE was carried out for a relaxed structure of Sr3Nd3DyS8.

Cell and atoms, written as extended XYZ:
```
15
Lattice="4.101 2.368 6.920 -4.101 2.368 6.920 0.000 -4.735 6.920" Properties=species:S:1:pos:R:3 pbc="T T T"
Sr -2.050 -1.184 6.920
Sr -2.050 1.184 13.841
Sr 0.000 2.368 6.920
Nd -4.101 0.000 10.381
Nd -2.050 1.184 3.460
Nd 2.050 1.184 3.460
Dy 0.000 0.000 10.381
S 0.000 0.000 5.123
S -1.979 -1.143 11.953
S 0.000 -2.285 8.808
S -1.979 1.143 8.808
S 1.979 -1.143 11.953
S 0.000 2.285 11.953
S 1.979 1.143 8.808
S 0.000 0.000 15.639
```

Properties
raw formation energy = -2079.1 meV/atom
calculated volume = 403.11 Å³/cell
crystal system = trigonal

---

[5]
A plane-wave DFT calculation with PBE was carried out for a relaxed structure of SrNd2DyS4.

Cell and atoms, written as extended XYZ:
```
8
Lattice="7.044 0.000 0.000 0.000 4.041 0.000 -2.307 0.000 6.693" Properties=species:S:1:pos:R:3 pbc="T T T"
Sr 0.000 0.000 0.000
Nd -1.153 2.021 3.347
Nd 2.369 0.000 3.347
Dy 3.522 2.021 0.000
S 1.257 2.021 1.664
S 0.095 0.000 5.083
S 4.642 0.000 1.610
S 3.480 2.021 5.029
```

Properties
raw formation energy = -2009.8 meV/atom
calculated volume = 190.54 Å³/cell
crystal system = monoclinic

---

[6]
A plane-wave DFT calculation with PBE was carried out for a relaxed structure of SrNdDy4S8.

Cell and atoms, written as extended XYZ:
```
14
Lattice="4.087 2.360 6.764 -4.087 2.360 6.764 0.000 -4.719 6.764" Properties=species:S:1:pos:R:3 pbc="T T T"
Sr 0.000 0.000 0.000
Nd 0.000 0.000 12.746
Dy -2.072 -1.197 9.316
Dy 0.000 0.000 5.108
Dy 2.073 -1.197 9.316
Dy 0.000 2.393 9.316
S 0.000 -2.258 10.916
S -1.956 1.129 10.916
S 0.000 0.000 7.795
S -1.846 -1.066 14.561
S 1.956 1.129 10.916
S 0.000 0.000 17.488
S 1.846 -1.066 14.561
S 0.000 2.131 14.561
```

Properties
raw formation energy = -1984.8 meV/atom
calculated volume = 391.40 Å³/cell
crystal system = trigonal

---

[7]
A plane-wave DFT calculation with PBE was carried out for a relaxed structure of Sr2NdDyS4.

Cell and atoms, written as extended XYZ:
```
8
Lattice="7.076 0.000 0.000 0.000 4.083 0.000 -2.354 0.000 6.835" Properties=species:S:1:pos:R:3 pbc="T T T"
Sr 0.000 0.000 0.000
Sr 3.538 2.042 0.000
Nd -1.177 2.042 3.417
Dy 2.361 0.000 3.417
S 0.057 0.000 5.036
S 1.230 2.042 1.832
S 3.492 2.042 5.002
S 4.665 0.000 1.798
```

Properties
raw formation energy = -2039.7 meV/atom
calculated volume = 197.48 Å³/cell
crystal system = monoclinic

---

[8]
A plane-wave DFT calculation with PBE was carried out for a relaxed structure of Tb3NdDy2S6.

Cell and atoms, written as extended XYZ:
```
12
Lattice="3.410 -5.928 0.000 3.410 5.928 0.000 -2.279 0.000 6.435" Properties=species:S:1:pos:R:3 pbc="T T T"
Tb 0.000 0.000 0.000
Tb 3.410 1.925 0.000
Tb 3.410 -1.925 0.000
Nd 2.271 0.000 3.217
Dy 2.271 3.959 3.217
Dy 2.271 -3.959 3.217
S 1.105 2.030 1.584
S -0.064 0.000 4.830
S 1.105 -2.030 1.584
S 3.436 2.030 4.851
S 4.605 0.000 1.605
S 3.436 -2.030 4.851
```

Properties
raw formation energy = -2008.2 meV/atom
calculated volume = 260.13 Å³/cell
crystal system = monoclinic